1.
CaSc2CdHg4 (PBE, optimized geometry); ΔE_f = -0.342 eV per atom; VASP energy = -2.4402 eV/atom; magnetic moment = 0.00 Bohr magnetons per cell
1.0
2.5210 1.4555 8.3325
-2.5210 1.4555 8.3325
0.0000 -2.9110 8.3325
Ca Sc Cd Hg
1 2 1 4
Direct
0.0000 0.0000 0.0000 Ca
0.2448 0.2448 0.2448 Sc
0.7552 0.7552 0.7552 Sc
0.5000 0.5000 0.5000 Cd
0.1235 0.1235 0.1235 Hg
0.3738 0.3738 0.3738 Hg
0.6262 0.6262 0.6262 Hg
0.8765 0.8765 0.8765 Hg

=====

2.
CaScCd2Hg4 (PBE, optimized geometry); ΔE_f = -0.310 eV per atom; VASP energy = -1.7317 eV/atom; magnetic moment = 0.00 Bohr magnetons per cell
1.0
2.5146 1.4518 8.3291
-2.5146 1.4518 8.3291
0.0000 -2.9037 8.3291
Ca Sc Cd Hg
1 1 2 4
Direct
0.0000 0.0000 0.0000 Ca
0.5000 0.5000 0.5000 Sc
0.2511 0.2511 0.2511 Cd
0.7489 0.7489 0.7489 Cd
0.1287 0.1287 0.1287 Hg
0.3801 0.3801 0.3801 Hg
0.6199 0.6199 0.6199 Hg
0.8713 0.8713 0.8713 Hg

=====

3.
Ca2ScCdHg6 (PBE, optimized geometry); ΔE_f = -0.029 eV per atom; VASP energy = -1.3352 eV/atom; magnetic moment = 0.00 Bohr magnetons per cell
1.0
0.0000 5.4354 5.4354
5.4354 0.0000 5.4354
5.4354 5.4354 0.0000
Ca Sc Cd Hg
2 1 1 6
Direct
0.2500 0.2500 0.2500 Ca
0.7500 0.7500 0.7500 Ca
0.0000 0.0000 0.0000 Sc
0.5000 0.5000 0.5000 Cd
0.2486 0.2486 0.7514 Hg
0.2486 0.7514 0.2486 Hg
0.2486 0.7514 0.7514 Hg
0.7514 0.2486 0.2486 Hg
0.7514 0.2486 0.7514 Hg
0.7514 0.7514 0.2486 Hg

=====

4.
CaSm2CdHg4 (PBE, optimized geometry); ΔE_f = -0.464 eV per atom; VASP energy = -2.1590 eV/atom; magnetic moment = 0.00 Bohr magnetons per cell
1.0
2.6188 1.5120 8.6441
-2.6188 1.5120 8.6441
0.0000 -3.0239 8.6441
Ca Sm Cd Hg
1 2 1 4
Direct
0.0000 0.0000 0.0000 Ca
0.2442 0.2442 0.2442 Sm
0.7558 0.7558 0.7558 Sm
0.5000 0.5000 0.5000 Cd
0.1225 0.1225 0.1225 Hg
0.3713 0.3713 0.3713 Hg
0.6287 0.6287 0.6287 Hg
0.8775 0.8775 0.8775 Hg

=====

5.
CaCd2SnHg4 (PBE, optimized geometry); ΔE_f = -0.066 eV per atom; VASP energy = -1.1962 eV/atom; magnetic moment = 0.00 Bohr magnetons per cell
1.0
4.3084 0.0000 0.0000
0.0000 4.3084 0.0000
0.0000 0.0000 12.1160
Ca Cd Sn Hg
1 2 1 4
Direct
0.0000 0.0000 0.0000 Ca
0.5000 0.5000 0.3823 Cd
0.5000 0.5000 0.6177 Cd
0.0000 0.0000 0.5000 Sn
0.0000 0.5000 0.1966 Hg
0.0000 0.5000 0.8034 Hg
0.5000 0.0000 0.1966 Hg
0.5000 0.0000 0.8034 Hg

=====

6.
CaCd2Sn2Hg (PBE, optimized geometry); ΔE_f = -0.195 eV per atom; VASP energy = -2.2186 eV/atom; magnetic moment = 0.00 Bohr magnetons per cell
1.0
8.1465 0.0000 0.0000
0.0000 8.3735 0.0000
0.0000 0.0000 5.0259
Ca Cd Sn Hg
2 4 4 2
Direct
0.0000 0.0000 0.0000 Ca
0.5000 0.5000 0.5000 Ca
0.1785 0.1940 0.5000 Cd
0.3215 0.6940 0.0000 Cd
0.6785 0.3060 0.0000 Cd
0.8215 0.8060 0.5000 Cd
0.1993 0.8142 0.5000 Sn
0.3007 0.3142 0.0000 Sn
0.6993 0.6858 0.0000 Sn
0.8007 0.1858 0.5000 Sn
0.0000 0.5000 0.0000 Hg
0.5000 0.0000 0.5000 Hg

=====

7.
Ca4CdSn2Hg (PBE, optimized geometry); ΔE_f = -0.613 eV per atom; VASP energy = -2.7667 eV/atom; magnetic moment = 0.00 Bohr magnetons per cell
1.0
2.7147 1.5673 8.8445
-2.7147 1.5673 8.8445
0.0000 -3.1347 8.8445
Ca Cd Sn Hg
4 1 2 1
Direct
0.1241 0.1241 0.1241 Ca
0.3741 0.3741 0.3741 Ca
0.6259 0.6259 0.6259 Ca
0.8759 0.8759 0.8759 Ca
0.5000 0.5000 0.5000 Cd
0.2489 0.2489 0.2489 Sn
0.7511 0.7511 0.7511 Sn
0.0000 0.0000 0.0000 Hg

=====

8.
Ca3Cd2Sn2Hg4 (PBE, optimized geometry); ΔE_f = -0.368 eV per atom; VASP energy = -1.9179 eV/atom; magnetic moment = 0.00 Bohr magnetons per cell
1.0
4.9836 0.0000 0.0000
-2.4918 4.3159 0.0000
0.0000 0.0000 14.0177
Ca Cd Sn Hg
3 2 2 4
Direct
0.0000 0.0000 0.0000 Ca
0.0000 0.0000 0.2795 Ca
0.0000 0.0000 0.7205 Ca
0.3333 0.6667 0.5746 Cd
0.6667 0.3333 0.4254 Cd
0.3333 0.6667 0.1471 Sn
0.6667 0.3333 0.8529 Sn
0.3333 0.6667 0.3689 Hg
0.3333 0.6667 0.8891 Hg
0.6667 0.3333 0.1109 Hg
0.6667 0.3333 0.6311 Hg

=====

9.
Sr2CaCd3Hg12 (PBE, optimized geometry); ΔE_f = -0.168 eV per atom; VASP energy = -0.8195 eV/atom; magnetic moment = 0.00 Bohr magnetons per cell
1.0
3.5509 2.0501 12.3693
-3.5509 2.0501 12.3693
0.0000 -4.1002 12.3693
Sr Ca Cd Hg
2 1 3 12
Direct
0.1345 0.1345 0.1345 Sr
0.8655 0.8655 0.8655 Sr
0.5000 0.5000 0.5000 Ca
0.0000 0.5000 0.5000 Cd
0.5000 0.0000 0.5000 Cd
0.5000 0.5000 0.0000 Cd
0.0822 0.6275 0.6275 Hg
0.0917 0.0917 0.6564 Hg
0.0917 0.6564 0.0917 Hg
0.3436 0.9083 0.9083 Hg
0.3725 0.3725 0.9178 Hg
0.3725 0.9178 0.3725 Hg
0.6275 0.0822 0.6275 Hg
0.6275 0.6275 0.0822 Hg
0.6564 0.0917 0.0917 Hg
0.9083 0.3436 0.9083 Hg
0.9083 0.9083 0.3436 Hg
0.9178 0.3725 0.3725 Hg

=====

10.
SrCa2CdHg4 (PBE, optimized geometry); ΔE_f = -0.437 eV per atom; VASP energy = -1.4130 eV/atom; magnetic moment = 0.00 Bohr magnetons per cell
1.0
2.6302 1.5185 9.3245
-2.6302 1.5185 9.3245
0.0000 -3.0371 9.3245
Sr Ca Cd Hg
1 2 1 4
Direct
0.0000 0.0000 0.0000 Sr
0.2365 0.2365 0.2365 Ca
0.7635 0.7635 0.7635 Ca
0.5000 0.5000 0.5000 Cd
0.1218 0.1218 0.1218 Hg
0.3849 0.3849 0.3849 Hg
0.6151 0.6151 0.6151 Hg
0.8782 0.8782 0.8782 Hg

=====

11.
CaTb2CdHg4 (PBE, optimized geometry); ΔE_f = -0.448 eV per atom; VASP energy = -2.1213 eV/atom; magnetic moment = 0.00 Bohr magnetons per cell
1.0
2.5943 1.4978 8.5698
-2.5943 1.4978 8.5698
0.0000 -2.9956 8.5698
Ca Tb Cd Hg
1 2 1 4
Direct
0.0000 0.0000 0.0000 Ca
0.2444 0.2444 0.2444 Tb
0.7556 0.7556 0.7556 Tb
0.5000 0.5000 0.5000 Cd
0.1227 0.1227 0.1227 Hg
0.3715 0.3715 0.3715 Hg
0.6285 0.6285 0.6285 Hg
0.8773 0.8773 0.8773 Hg

=====

12.
CaTbCd2Hg4 (PBE, optimized geometry); ΔE_f = -0.371 eV per atom; VASP energy = -1.5800 eV/atom; magnetic moment = 0.00 Bohr magnetons per cell
1.0
2.5462 1.4701 8.5076
-2.5462 1.4701 8.5076
0.0000 -2.9401 8.5076
Ca Tb Cd Hg
1 1 2 4
Direct
0.0000 0.0000 0.0000 Ca
0.5000 0.5000 0.5000 Tb
0.2496 0.2496 0.2496 Cd
0.7504 0.7504 0.7504 Cd
0.1246 0.1246 0.1246 Hg
0.3766 0.3766 0.3766 Hg
0.6234 0.6234 0.6234 Hg
0.8754 0.8754 0.8754 Hg